## BaInSb2 (GGA-PBE)

Data for crystalline BaInSb2 at its relaxed geometry.

Values from the calculation:
DOS at the Fermi energy in states/eV/f.u.: 1.9
Energy relative to the elements, uncorrected in meV per atom: -401.9

Cell: 4.3366 4.3366 7.0058 Å, 90.00 90.00 90.00°
Last column: nearest neighbours and their distance in Å.
Space group P4/mmm (No. 123)
One atom of each set of equivalent atoms:
1 Ba 0.0000 0.0000 0.0000 (multiplicity 1)  2 In 3.50, 8 Sb 3.69
2 In 0.0000 0.0000 0.5000 (multiplicity 1)  8 Sb 3.39, 2 Ba 3.50
3 Sb 0.5000 0.5000 0.2923 (multiplicity 2)  1 Sb 2.91